Record 1
VASP calculation (PBE) on Ce2Tl3InS6 after structural relaxation.

Structure (POSCAR):
```
Ce2Tl3InS6
1.0
-2.8259 6.5887 0.0600
-4.2632 -5.7432 0.4917
2.9591 -0.0923 7.2150
Tl In S Ce
3 1 6 2
Direct
0.1663 0.8337 0.5000
0.8337 0.1663 0.5000
0.5000 0.5000 0.5000
0.0000 0.0000 0.0000
0.3997 0.0665 0.2002
0.7346 0.7346 0.1993
0.9335 0.6003 0.7998
0.6003 0.9335 0.7998
0.0665 0.3997 0.2002
0.2654 0.2654 0.8007
0.3333 0.6667 0.0000
0.6667 0.3333 0.0000
```

Calculated values
E_form (uncorrected)	-1083.1	meV per atom
crystal system	monoclinic
final energy	-59.47	eV for the cell shown

=====

Record 2
VASP calculation (PBE) on Ce5InSb3 after structural relaxation.

Structure (POSCAR):
```
Ce5InSb3
1.0
-1.5309 -2.2786 5.8294
8.6722 2.2887 3.1720
-7.1007 6.3030 0.5990
Sb In Ce
6 2 10
Direct
0.2500 0.6274 0.6274
0.2500 0.0000 0.3726
0.7500 0.0000 0.6274
0.7500 0.6273 0.0000
0.2500 0.3727 0.0000
0.7500 0.3726 0.3726
0.5000 0.0000 0.0000
0.0000 0.0000 0.0000
0.2500 0.0000 0.7148
0.7500 0.7148 0.7148
0.2500 0.7148 0.0000
0.5000 0.3333 0.6667
0.7500 0.0000 0.2852
0.2500 0.2852 0.2852
0.7500 0.2852 0.0000
0.0000 0.6667 0.3333
0.5000 0.6667 0.3333
0.0000 0.3333 0.6667
```

Calculated values
E_form (uncorrected)	-789.1	meV per atom
crystal system	hexagonal
final energy	-103.75	eV for the cell shown

=====

Record 3
VASP calculation (PBE) on Ce7InSb3 after structural relaxation.

Structure (POSCAR):
```
Ce7InSb3
1.0
-5.8649 1.4476 -0.3324
1.3875 -5.7234 5.6712
4.3585 5.8565 3.6809
Ce Sb In
7 3 1
Direct
0.6438 0.3863 0.9013
0.6438 0.9013 0.3863
0.1476 0.1474 0.1474
0.8524 0.8526 0.8526
0.3562 0.0987 0.6137
0.3562 0.6137 0.0987
0.0000 0.5000 0.5000
0.0000 0.7600 0.2400
0.0000 0.2400 0.7600
0.5000 0.0000 0.0000
0.5000 0.5000 0.5000
```

Calculated values
E_form (uncorrected)	-509.0	meV per atom
crystal system	orthorhombic
final energy	-62.24	eV for the cell shown

=====

Record 4
VASP calculation (PBE) on Ce2In4Sb after structural relaxation.

Structure (POSCAR):
```
Ce2In4Sb
1.0
5.5615 0.0212 -3.1883
-1.8452 5.2465 -3.1883
0.1351 0.1914 6.6834
In Ce Sb
4 2 1
Direct
0.2857 0.7856 0.0714
0.7856 0.2857 0.0714
0.7859 0.7859 0.0717
0.2856 0.2856 0.0712
0.7855 0.2858 0.5714
0.2858 0.7855 0.5714
0.7858 0.7858 0.5715
```

Calculated values
E_form (uncorrected)	-325.4	meV per atom
crystal system	tetragonal
final energy	-29.22	eV for the cell shown

=====

Record 5
VASP calculation (PBE) on Ce5InSb2 after structural relaxation.

Structure (POSCAR):
```
Ce5InSb2
1.0
-2.9629 -2.6745 4.0054
4.9160 -3.5016 -2.6932
8.8296 4.8711 9.7839
Ce In Sb
10 2 4
Direct
0.9165 0.8331 0.8907
0.5964 0.1928 0.2500
0.0835 0.1669 0.3907
0.3964 0.7929 0.4710
0.0835 0.1669 0.1093
0.9165 0.8331 0.6093
0.6036 0.2071 0.9710
0.3964 0.7929 0.0290
0.4036 0.8072 0.7500
0.6036 0.2071 0.5290
0.3146 0.6291 0.2500
0.6854 0.3709 0.7500
0.8103 0.6206 0.3885
0.8103 0.6206 0.1115
0.1897 0.3794 0.6115
0.1897 0.3794 0.8885
```

Calculated values
E_form (uncorrected)	-313.6	meV per atom
crystal system	orthorhombic
final energy	-86.32	eV for the cell shown

=====

Record 6
VASP calculation (PBE) on Ce6InSb after structural relaxation.

Structure (POSCAR):
```
Ce6InSb
1.0
4.7829 0.0000 0.0000
0.0000 4.7830 0.0000
0.0000 0.0000 9.5255
Ce In Sb
6 1 1
Direct
0.5000 0.0000 0.7545
0.5000 0.0000 0.2455
0.0000 0.5000 0.7545
0.0000 0.5000 0.2455
0.5000 0.5000 0.5000
0.5000 0.5000 0.0000
0.0000 0.0000 0.5000
0.0000 0.0000 0.0000
```

Calculated values
E_form (uncorrected)	-379.9	meV per atom
crystal system	tetragonal
final energy	-45.50	eV for the cell shown

=====

Record 7
VASP calculation (PBE) on CeIn2Sb after structural relaxation.

Structure (POSCAR):
```
CeIn2Sb
1.0
-1.5296 -1.0008 4.6568
3.0293 -3.4340 0.2571
3.1452 2.8985 1.6560
In Ce Sb
2 1 1
Direct
0.0000 0.5000 0.0000
0.0000 0.0000 0.5000
0.5000 0.5000 0.5000
0.5000 0.0000 0.0000
```

Calculated values
E_form (uncorrected)	-522.4	meV per atom
distance to the lowest polymorph of the same formula	0	meV/atom
crystal system	tetragonal
final energy	-17.62	eV for the cell shown

=====

Record 8
VASP calculation (PBE) on Ce6InSb5 after structural relaxation.

Structure (POSCAR):
```
Ce6InSb5
1.0
-6.2596 3.3423 3.1897
-1.4194 -3.2242 6.9513
3.2506 2.9942 6.4209
Sb In Ce
5 1 6
Direct
0.5000 0.1662 0.6676
0.0000 0.3335 0.3330
0.5000 0.8338 0.3324
0.5000 0.5000 0.0000
0.0000 0.6665 0.6670
0.0000 0.0000 0.0000
0.2521 0.2537 0.0000
0.7489 0.4214 0.6622
0.7479 0.7463 0.0000
0.2511 0.5786 0.3378
0.2511 0.9164 0.6622
0.7489 0.0836 0.3378
```

Calculated values
E_form (uncorrected)	-855.3	meV per atom
crystal system	monoclinic
final energy	-69.22	eV for the cell shown

=====

Record 9
VASP calculation (PBE) on Ce2In2Sb3 after structural relaxation.

Structure (POSCAR):
```
Ce2In2Sb3
1.0
4.7528 -0.0015 -1.3262
-2.5658 4.4263 -0.0072
0.2961 0.1679 10.2154
Sb In Ce
3 2 2
Direct
0.5517 0.7787 0.3253
0.0000 0.0000 0.0000
0.4483 0.2213 0.6747
0.2560 0.1384 0.3735
0.7440 0.8616 0.6265
0.7684 0.3839 0.1529
0.2316 0.6161 0.8471
```

Calculated values
E_form (uncorrected)	-452.6	meV per atom
crystal system	monoclinic
final energy	-32.88	eV for the cell shown

=====

Record 10
VASP calculation (PBE) on Ce2InSb after structural relaxation.

Structure (POSCAR):
```
Ce2InSb
1.0
-1.8090 1.3655 -3.6561
-0.1230 -4.1707 1.0337
-6.3498 3.5096 4.4525
In Ce Sb
1 2 1
Direct
0.5000 0.0000 0.0000
0.7451 0.4902 0.7352
0.2549 0.5098 0.2648
0.0000 0.0000 0.5000
```

Calculated values
E_form (uncorrected)	-507.5	meV per atom
distance to the lowest polymorph of the same formula	98	meV/atom
crystal system	trigonal
final energy	-20.76	eV for the cell shown

=====

Record 11
VASP calculation (PBE) on Ce7InSb2 after structural relaxation.

Structure (POSCAR):
```
Ce7InSb2
1.0
-1.8395 5.0638 -1.3343
-4.1400 -3.3355 -6.9513
-3.8132 0.6824 7.8473
Ce Sb In
7 2 1
Direct
0.5000 0.2735 0.0512
0.5000 0.0512 0.2735
0.0000 0.7803 0.2197
0.0000 0.2197 0.7803
0.5000 0.5000 0.5000
0.5000 0.7265 0.9488
0.5000 0.9488 0.7265
0.5000 0.6991 0.3009
0.5000 0.3009 0.6991
0.0000 0.0000 0.0000
```

Calculated values
E_form (uncorrected)	-1.1	meV per atom
crystal system	orthorhombic
final energy	-52.53	eV for the cell shown

=====

Record 12
VASP calculation (PBE) on CeInSb2 after structural relaxation.

Structure (POSCAR):
```
CeInSb2
1.0
-2.0195 -3.3587 2.4633
2.3011 -3.9148 0.8979
2.5386 0.3353 6.8875
Sb In Ce
2 1 1
Direct
0.2569 0.2569 0.2294
0.0816 0.0816 0.7551
0.4968 0.4968 0.5096
0.6647 0.6647 0.0059
```

Calculated values
E_form (uncorrected)	-372.9	meV per atom
distance to the lowest polymorph of the same formula	218	meV/atom
crystal system	trigonal
final energy	-18.41	eV for the cell shown

=====

Copy entry 11 word for word.
VASP calculation (PBE) on Ce7InSb2 after structural relaxation.

Structure (POSCAR):
```
Ce7InSb2
1.0
-1.8395 5.0638 -1.3343
-4.1400 -3.3355 -6.9513
-3.8132 0.6824 7.8473
Ce Sb In
7 2 1
Direct
0.5000 0.2735 0.0512
0.5000 0.0512 0.2735
0.0000 0.7803 0.2197
0.0000 0.2197 0.7803
0.5000 0.5000 0.5000
0.5000 0.7265 0.9488
0.5000 0.9488 0.7265
0.5000 0.6991 0.3009
0.5000 0.3009 0.6991
0.0000 0.0000 0.0000
```

Calculated values
E_form (uncorrected)	-1.1	meV per atom
crystal system	orthorhombic
final energy	-52.53	eV for the cell shown